# K2GeO3

An optimized crystal structure of K2GeO3 (GGA-PBE, Alexandria).

Geometry as extended XYZ:
```
12
Lattice="-1.4507 2.1836 1.7852 1.7462 -3.0908 5.1996 8.8781 4.0595 -0.5684" Properties=species:S:1:pos:R:3 pbc="T T T"
K 4.2127 -0.4839 4.0152
K 1.5558 -2.1626 3.9095
K 7.6179 5.3149 2.5069
K 4.9609 3.6361 2.4012
Ge 7.1748 1.3877 4.1329
Ge 1.9988 1.7645 2.2834
O 8.3392 1.1337 5.3898
O 0.8345 2.0185 1.0266
O 1.6586 0.5598 3.4805
O 7.5151 2.5924 2.9359
O 3.6452 1.2546 1.4275
O 5.5285 1.8976 4.9889
```

## Properties
energy: -5.30 eV per atom
magnetic moment: 0.0 Bohr magnetons per cell
crystal system: orthorhombic
formation energy (no corrections): -1.683 eV/atom

***

# KGeO3

An optimized crystal structure of KGeO3 (GGA-PBE, Alexandria).

Geometry as extended XYZ:
```
5
Lattice="-0.7640 3.8179 2.0100 -3.3844 -1.7965 2.1258 2.6763 -1.1818 3.2621" Properties=species:S:1:pos:R:3 pbc="T T T"
O -1.6922 -0.8982 1.0629
O -0.3820 1.9090 1.0050
O 1.3382 -0.5909 1.6310
Ge -0.7360 0.4198 3.6989
K 0.0000 0.0000 0.0000
```

## Properties
energy: -3.27 eV per atom
magnetic moment: 3.0 Bohr magnetons per cell
crystal system: cubic
formation energy (no corrections): 0.851 eV/atom

***

# K3GeO

An optimized crystal structure of K3GeO (GGA-PBE, Alexandria).

Geometry as extended XYZ:
```
5
Lattice="5.4023 0.0000 0.0000 0.0000 5.4023 0.0000 0.0000 0.0000 5.4023" Properties=species:S:1:pos:R:3 pbc="T T T"
Ge 2.7012 2.7012 2.7012
K 2.7012 0.0000 0.0000
K 0.0000 0.0000 2.7012
K 0.0000 2.7012 0.0000
O 0.0000 0.0000 0.0000
```

## Properties
energy above the most stable polymorph in this dataset: 0.000 eV/f.u.
energy: -2.92 eV per atom
magnetic moment: 3.0 Bohr magnetons per cell
crystal system: cubic
formation energy (no corrections): -0.346 eV/atom

***

The highest energy belongs to which entry? K3GeO

***

formation energy (no corrections) of number 1 (K2GeO3)? -1.683 eV/atom